Record 1
First-principles (PBE) data for a relaxed structure of LiPrGePt2, as listed in Alexandria.

Output
V = 19.27 A^3/atom
DFT total energy = -5.504 eV/atom
Spin magnetization = 0.000 μB/atom

Cell: 6.429 6.429 6.429 Å, 144.04 141.59 53.63°
Atoms (fractional coordinates):
Li (0.000, 0.000, 0.000)
Pr (0.743, 0.243, 0.500)
Ge (0.366, 0.866, 0.500)
Pt (0.150, 0.650, 0.500)
Pt (0.495, 0.495, 0.000)

=====

Record 2
First-principles (PBE) data for a relaxed structure of ErPbAu2, as listed in Alexandria.

Output
V = 25.87 A^3/atom
DFT total energy = -4.162 eV/atom
Spin magnetization = 0.000 μB/atom

Cell: 8.055 8.055 8.055 Å, 28.25 28.25 28.25°
Atoms (fractional coordinates):
Er (0.000, 0.000, 0.000)
Pb (0.500, 0.500, 0.500)
Au (0.255, 0.255, 0.255)
Au (0.745, 0.745, 0.745)

=====

Record 3
First-principles (PBE) data for a relaxed structure of MnSbH2, as listed in Alexandria.

Output
V = 10.22 A^3/atom
DFT total energy = -3.934 eV/atom
Spin magnetization = 0.000 μB/atom

Cell: 3.867 3.867 3.867 Å, 60.00 60.00 60.00°
Atoms (fractional coordinates):
Mn (0.000, 0.000, 0.000)
Sb (0.500, 0.500, 0.500)
H (0.250, 0.250, 0.250)
H (0.750, 0.750, 0.750)

=====

Record 4
First-principles (PBE) data for a relaxed structure of CaSb2Pt, as listed in Alexandria.

Output
V = 24.29 A^3/atom
Energy relative to the elements, uncorrected = -0.43 eV/atom
DFT total energy = -4.499 eV/atom
Spin magnetization = 0.000 μB/atom

Cell: 3.777 3.777 6.809 Å, 90.00 90.00 90.00°
Atoms (fractional coordinates):
Ca (0.000, 0.000, 0.000)
Sb (0.000, 0.000, 0.455)
Sb (0.500, 0.500, 0.731)
Pt (0.500, 0.500, 0.311)

=====

Q: Which of these has the highest DFT total energy?
A: MnSbH2

=====

Q: DFT total energy of number 1 (LiPrGePt2)?
A: -5.504 eV/atom

=====

Repeat the second record exactly.
First-principles (PBE) data for a relaxed structure of ErPbAu2, as listed in Alexandria.

Output
V = 25.87 A^3/atom
DFT total energy = -4.162 eV/atom
Spin magnetization = 0.000 μB/atom

Cell: 8.055 8.055 8.055 Å, 28.25 28.25 28.25°
Atoms (fractional coordinates):
Er (0.000, 0.000, 0.000)
Pb (0.500, 0.500, 0.500)
Au (0.255, 0.255, 0.255)
Au (0.745, 0.745, 0.745)

=====

Q: Which value of V does entry 3 give?
A: 10.22 A^3/atom